Entry 1:
## Rb2USBr5 (PBE)

Data for a relaxed Rb2USBr5 crystal.

```
9
Lattice="7.822 -0.124 -0.180 -3.823 6.825 0.180 -3.823 -2.262 6.441" Properties=species:S:1:pos:R:3 pbc="T T T"
Rb 0.093 4.488 1.651
Br -3.821 0.010 4.873
Rb 0.093 -0.055 4.782
Br -1.824 3.358 4.873
Br -1.832 1.093 1.587
Br -3.821 4.550 1.745
S -5.915 3.530 5.123
U -7.563 4.513 6.550
Br 2.003 1.078 1.565
```

raw formation energy = -1.470 eV/atom
crystal system = tetragonal
total energy = -4.3272 eV per atom



Entry 2:
## NaTi3Ag (PBE)

Data for a relaxed NaTi3Ag crystal.

```
5
Lattice="-0.025 2.320 4.477 -1.005 -4.389 2.269 4.941 -0.882 0.484" Properties=species:S:1:pos:R:3 pbc="T T T"
Ti -0.503 -2.195 1.134
Ti -0.012 1.160 2.238
Ti 2.470 -0.441 0.242
Ag 0.000 0.000 0.000
Na 1.955 -1.475 3.615
```

crystal system = cubic
energy of formation from the pure elements = 1.128 eV per atom
total energy = -4.4427 eV per atom
energy above the most stable polymorph in this dataset = 0 meV per atom



Entry 3:
## MgNb3Ir4 (PBE)

Data for a relaxed MgNb3Ir4 crystal.

```
8
Lattice="2.928 0.000 0.000 0.000 2.928 0.000 0.000 0.000 14.973" Properties=species:S:1:pos:R:3 pbc="T T T"
Nb 1.464 1.464 3.637
Nb 1.464 1.464 7.486
Ir 0.000 0.000 5.572
Ir 0.000 0.000 1.843
Mg 1.464 1.464 0.000
Ir 0.000 0.000 9.400
Nb 1.464 1.464 11.335
Ir 0.000 0.000 13.130
```

crystal system = tetragonal
energy of formation from the pure elements = -0.488 eV per atom
total energy = -8.8938 eV per atom



Entry 4:
## Li2SbMo (PBE)

Data for a relaxed Li2SbMo crystal.

```
4
Lattice="3.970 0.000 0.000 0.000 3.970 0.000 0.000 0.000 4.205" Properties=species:S:1:pos:R:3 pbc="T T T"
Sb 0.000 1.985 2.103
Li 1.985 1.985 0.000
Mo 1.985 0.000 2.103
Li 0.000 0.000 0.000
```

raw formation energy = 0.117 eV/atom
crystal system = tetragonal
total energy = -4.5785 eV per atom



Entry 5:
## Cs3HgO (PBE)

Data for a relaxed Cs3HgO crystal.

```
20
Lattice="5.804 0.000 -1.267 0.000 10.597 0.000 -0.779 0.000 15.262" Properties=species:S:1:pos:R:3 pbc="T T T"
O 0.368 6.590 9.346
Cs 1.030 1.329 1.407
Cs 0.641 9.268 9.038
Hg 1.385 9.098 4.184
Cs 3.925 4.307 1.778
Cs 0.337 3.872 8.633
O 4.657 4.007 4.649
Cs 4.299 3.872 12.993
Cs 4.689 6.726 5.362
Cs 3.536 6.291 9.409
Cs 3.995 9.268 12.588
Hg 4.030 9.098 2.180
Cs 4.384 1.329 4.957
Cs 1.489 4.307 4.586
Cs 1.100 6.291 12.217
O 0.758 4.007 1.715
Hg 0.995 1.499 11.815
Hg 3.641 1.499 9.811
O 4.268 6.590 12.280
Cs 0.726 6.726 1.002
```

raw formation energy = -0.651 eV/atom
crystal system = monoclinic
total energy = -2.2155 eV per atom
energy above the most stable polymorph in this dataset = 0 meV per atom



Entry 6:
## CeGdHoPu (PBE)

Data for a relaxed CeGdHoPu crystal.

```
4
Lattice="-0.113 4.150 3.705 -3.916 0.096 3.952 1.375 -0.968 5.304" Properties=species:S:1:pos:R:3 pbc="T T T"
Ce -0.663 0.819 3.240
Pu -1.990 2.458 9.720
Gd -1.327 1.639 6.480
Ho 0.000 0.000 0.000
```

crystal system = cubic
energy of formation from the pure elements = 0.261 eV per atom
total energy = -9.4699 eV per atom



- Look up the total energy of the second one.
  -4.4427 eV per atom



- Look up the total energy of the sixth one.
  -9.4699 eV per atom